## Pr2BeGa3Pd4 (PBE)

Data for a relaxed Pr2BeGa3Pd4 crystal.

```
10
Lattice="4.357 0.000 0.000 0.000 4.357 0.000 0.000 0.000 9.978" Properties=species:S:1:pos:R:3 pbc="T T T"
Pr 0.000 2.179 2.455
Pr 2.179 0.000 7.523
Be 2.179 2.179 0.000
Ga 0.000 0.000 0.000
Ga 0.000 2.179 6.318
Ga 2.179 0.000 3.660
Pd 0.000 0.000 4.989
Pd 0.000 2.179 8.829
Pd 2.179 0.000 1.149
Pd 2.179 2.179 4.989
```

Results
- density (g/cm3) = 8.1


## BeGaPdPt (PBE)

Data for a relaxed BeGaPdPt crystal.

```
16
Lattice="5.985 0.000 0.000 0.000 5.985 0.000 0.000 0.000 5.985" Properties=species:S:1:pos:R:3 pbc="T T T"
Be 0.000 0.000 0.000
Be 0.000 2.992 2.992
Be 2.992 0.000 2.992
Be 2.992 2.992 0.000
Ga 0.000 0.000 2.992
Ga 0.000 2.992 0.000
Ga 2.992 0.000 0.000
Ga 2.992 2.992 2.992
Pd 1.496 1.496 1.496
Pd 1.496 4.489 4.489
Pd 4.489 1.496 4.489
Pd 4.489 4.489 1.496
Pt 1.496 1.496 4.489
Pt 1.496 4.489 1.496
Pt 4.489 1.496 1.496
Pt 4.489 4.489 4.489
```

Results
- density (g/cm3) = 11.8


## PuBeGa2Pd4 (PBE)

Data for a relaxed PuBeGa2Pd4 crystal.

```
8
Lattice="2.145 1.238 8.323 -2.145 1.238 8.323 0.000 -2.477 8.323" Properties=species:S:1:pos:R:3 pbc="T T T"
Pu 0.000 0.000 0.000
Be 0.000 0.000 12.484
Ga 0.000 0.000 6.020
Ga 0.000 0.000 18.949
Pd 0.000 0.000 3.387
Pd 0.000 0.000 10.152
Pd 0.000 0.000 14.816
Pd 0.000 0.000 21.581
```

Results
- density (g/cm3) = 10.2


## BeGaPdRh (PBE)

Data for a relaxed BeGaPdRh crystal.

```
4
Lattice="2.882 0.000 0.000 0.000 2.882 0.000 0.000 0.000 6.148" Properties=species:S:1:pos:R:3 pbc="T T T"
Be 0.000 0.000 0.000
Ga 0.000 0.000 2.914
Pd 1.441 1.441 4.638
Rh 1.441 1.441 1.310
```

Results
- energy above the lowest structure with this stoichiometry (eV per atom) = 0.000
- density (g/cm3) = 9.4


## BeGaPdRh (PBE)

Data for a relaxed BeGaPdRh crystal.

```
16
Lattice="5.897 0.000 0.000 0.000 5.897 0.000 0.000 0.000 5.897" Properties=species:S:1:pos:R:3 pbc="T T T"
Be 0.000 0.000 0.000
Be 0.000 2.949 2.949
Be 2.949 0.000 2.949
Be 2.949 2.949 0.000
Ga 0.000 0.000 2.949
Ga 0.000 2.949 0.000
Ga 2.949 0.000 0.000
Ga 2.949 2.949 2.949
Pd 1.474 1.474 1.474
Pd 1.474 4.423 4.423
Pd 4.423 1.474 4.423
Pd 4.423 4.423 1.474
Rh 1.474 1.474 4.423
Rh 1.474 4.423 1.474
Rh 4.423 1.474 1.474
Rh 4.423 4.423 4.423
```

Results
- energy above the lowest structure with this stoichiometry (eV per atom) = 0.036
- density (g/cm3) = 9.3


## BeGaPdRu (PBE)

Data for a relaxed BeGaPdRu crystal.

```
16
Lattice="5.890 0.000 0.000 0.000 5.890 0.000 0.000 0.000 5.890" Properties=species:S:1:pos:R:3 pbc="T T T"
Be 0.000 0.000 0.000
Be 0.000 2.945 2.945
Be 2.945 0.000 2.945
Be 2.945 2.945 0.000
Ga 0.000 0.000 2.945
Ga 0.000 2.945 0.000
Ga 2.945 0.000 0.000
Ga 2.945 2.945 2.945
Pd 1.472 1.472 1.472
Pd 1.472 4.417 4.417
Pd 4.417 1.472 4.417
Pd 4.417 4.417 1.472
Ru 1.472 1.472 4.417
Ru 1.472 4.417 1.472
Ru 4.417 1.472 1.472
Ru 4.417 4.417 4.417
```

Results
- density (g/cm3) = 9.3


## Sc2Be2GaPd5 (PBE)

Data for a relaxed Sc2Be2GaPd5 crystal.

```
20
Lattice="9.421 0.000 0.000 0.000 9.421 0.000 0.000 0.000 3.333" Properties=species:S:1:pos:R:3 pbc="T T T"
Sc 1.651 3.059 0.000
Sc 3.059 7.769 0.000
Sc 6.362 1.651 0.000
Sc 7.769 6.362 0.000
Be 1.146 5.856 0.000
Be 3.564 1.146 0.000
Be 5.856 8.275 0.000
Be 8.275 3.564 0.000
Ga 0.000 0.000 0.000
Ga 4.710 4.710 0.000
Pd 0.000 4.710 1.667
Pd 0.663 7.439 1.667
Pd 1.982 0.663 1.667
Pd 2.729 5.374 1.667
Pd 4.047 2.729 1.667
Pd 4.710 0.000 1.667
Pd 5.374 6.692 1.667
Pd 6.692 4.047 1.667
Pd 7.439 8.758 1.667
Pd 8.758 1.982 1.667
```

Results
- density (g/cm3) = 8.0


## Sm2BeGaPd6 (PBE)

Data for a relaxed Sm2BeGaPd6 crystal.

```
10
Lattice="0.000 4.545 4.545 4.545 0.000 4.545 4.545 4.545 0.000" Properties=species:S:1:pos:R:3 pbc="T T T"
Sm 2.273 2.273 2.273
Sm 6.818 6.818 6.818
Be 0.000 0.000 0.000
Ga 4.545 4.545 4.545
Pd 4.545 4.545 2.142
Pd 4.545 2.142 4.545
Pd 6.949 4.545 4.545
Pd 2.142 4.545 4.545
Pd 4.545 6.949 4.545
Pd 4.545 4.545 6.949
```

Results
- density (g/cm3) = 9.0


## SmBeGa2Pd4 (PBE)

Data for a relaxed SmBeGa2Pd4 crystal.

```
8
Lattice="2.143 1.237 8.367 -2.143 1.237 8.367 0.000 -2.474 8.367" Properties=species:S:1:pos:R:3 pbc="T T T"
Sm 0.000 0.000 0.000
Be 0.000 0.000 12.550
Ga 0.000 0.000 6.061
Ga 0.000 0.000 19.039
Pd 0.000 0.000 3.423
Pd 0.000 0.000 10.227
Pd 0.000 0.000 14.872
Pd 0.000 0.000 21.676
```

Results
- density (g/cm3) = 9.0


## Sm3Be2GaPd9 (PBE)

Data for a relaxed Sm3Be2GaPd9 crystal.

```
15
Lattice="5.904 0.000 0.000 -2.952 5.113 0.000 0.000 0.000 9.080" Properties=species:S:1:pos:R:3 pbc="T T T"
Sm 0.000 0.000 0.000
Sm 0.000 3.409 6.045
Sm 2.952 1.704 3.035
Be 0.000 3.409 1.375
Be 2.952 1.704 7.705
Ga 0.000 0.000 4.540
Pd -1.476 2.557 0.000
Pd 0.000 1.666 2.660
Pd -1.509 4.280 2.660
Pd 1.443 0.833 6.419
Pd 2.952 0.000 0.000
Pd 1.476 2.557 0.000
Pd 1.509 4.280 2.660
Pd 4.462 0.833 6.419
Pd 2.952 3.447 6.419
```

Results
- density (g/cm3) = 9.1


## Sr2BeGaPd6 (PBE)

Data for a relaxed Sr2BeGaPd6 crystal.

```
10
Lattice="6.128 0.000 0.000 -3.055 5.313 0.000 -0.019 -3.502 6.040" Properties=species:S:1:pos:R:3 pbc="T T T"
Sr -0.006 1.786 1.053
Sr 3.060 0.025 4.987
Be -0.009 -1.751 3.020
Ga 3.064 0.000 0.000
Pd -1.398 2.596 4.075
Pd 0.001 0.170 4.099
Pd 1.654 -0.784 1.954
Pd 1.400 2.595 4.086
Pd 3.053 1.641 1.941
Pd 4.452 -0.785 1.965
```

Results
- density (g/cm3) = 7.5


## Tb2BeGaPd6 (PBE)

Data for a relaxed Tb2BeGaPd6 crystal.

```
10
Lattice="0.000 4.516 4.516 4.516 0.000 4.516 4.516 4.516 0.000" Properties=species:S:1:pos:R:3 pbc="T T T"
Tb 2.258 2.258 2.258
Tb 6.775 6.775 6.775
Be 0.000 0.000 0.000
Ga 4.516 4.516 4.516
Pd 4.516 4.516 2.131
Pd 4.516 2.131 4.516
Pd 6.902 4.516 4.516
Pd 2.131 4.516 4.516
Pd 4.516 6.902 4.516
Pd 4.516 4.516 6.902
```

Results
- density (g/cm3) = 9.3


What energy of formation values result from the calculations? In sequence: -0.72; -0.58; -0.55; -0.63; -0.59; -0.43; -0.76; -0.58; -0.69; -0.67; -0.59; -0.58 eV per atom.